! TbHo2Br6 (PBE, relaxed); values from VASP
&SYSTEM
  ibrav = 0, nat = 9, ntyp = 3
/
ATOMIC_SPECIES
Br 79.90 Br.upf
Ho 164.93 Ho.upf
Tb 158.93 Tb.upf
ATOMIC_POSITIONS crystal
Br 0.180 0.613 0.271
Br 0.404 0.158 0.711
Br 0.728 0.404 0.711
Br 0.936 0.180 0.271
Br 0.158 0.728 0.711
Br 0.613 0.936 0.271
Ho 0.561 0.561 0.318
Ho 0.770 0.770 0.690
Tb 0.317 0.317 0.050
CELL_PARAMETERS angstrom
-4.871 -2.453 -5.127
-0.385 -7.301 -1.605
-5.780 -3.955 1.918
! Magnetic moment: 1.00 μB/f.u.
! Space group: R3, No. 146
! Formation energy from raw total energies: -134 kJ/mol of atoms